Computed, not measured: a relaxed CrNi2SbO6 crystal at the PBE with a Hubbard U level of DFT.

Unit cell a=5.499 b=5.499 c=5.499 alpha=56.00 beta=56.00 gamma=56.00
Atoms (fractional coordinates):
Cr  0.000  0.000  0.000
Ni  0.296  0.296  0.296
Ni  0.798  0.798  0.798
Sb  0.499  0.499  0.499
O  0.108  0.712  0.388
O  0.214  0.607  0.886
O  0.388  0.108  0.712
O  0.607  0.886  0.214
O  0.712  0.388  0.108
O  0.886  0.214  0.607

ρ	6.03	Mg/m³
E	-5.9792	eV per atom